Density functional theory data (PBE) for a relaxed structure of ScZnNi6.

a b c (Å): 6.319 6.319 10.340
angles (deg): 90.00 90.00 109.90
Fractional positions:
1 Sc 0.000 0.000 0.247
2 Sc 0.000 0.000 0.753
3 Sc 0.244 0.756 0.500
4 Sc 0.756 0.244 0.500
5 Zn 0.241 0.759 0.000
6 Zn 0.500 0.500 0.246
7 Zn 0.500 0.500 0.754
8 Zn 0.759 0.241 0.000
9 Ni 0.000 0.000 0.000
10 Ni 0.000 0.000 0.500
11 Ni 0.131 0.386 0.121
12 Ni 0.131 0.386 0.879
13 Ni 0.135 0.381 0.371
14 Ni 0.135 0.381 0.629
15 Ni 0.253 0.747 0.244
16 Ni 0.253 0.747 0.756
17 Ni 0.381 0.135 0.371
18 Ni 0.381 0.135 0.629
19 Ni 0.386 0.131 0.121
20 Ni 0.386 0.131 0.879
21 Ni 0.500 0.500 0.000
22 Ni 0.500 0.500 0.500
23 Ni 0.614 0.869 0.121
24 Ni 0.614 0.869 0.879
25 Ni 0.619 0.865 0.371
26 Ni 0.619 0.865 0.629
27 Ni 0.747 0.253 0.244
28 Ni 0.747 0.253 0.756
29 Ni 0.865 0.619 0.371
30 Ni 0.865 0.619 0.629
31 Ni 0.869 0.614 0.121
32 Ni 0.869 0.614 0.879

Summary:
Volume: 12.1 Å³/atom
Energy of formation: -23.67 kJ per mole of atoms
Total DFT energy (no corrections): -177.02 eV for the cell shown
Space-group type: Cmmm (65)